No. 1
Density functional theory data (PBE) for crystalline Na6MgPb at its relaxed geometry.

Lattice parameters (Å, degrees): 6.295 6.298 6.330 91.43 91.46 90.56
Fractional coordinates of all 8 atoms:
Na 0.001 0.257 0.498
Na 0.243 0.002 0.996
Na 0.498 0.503 0.757
Na 0.502 0.497 0.243
Na 0.757 0.998 0.004
Na 0.999 0.743 0.502
Mg 0.500 0.000 0.500
Pb 0.000 0.500 0.000

Its space group is P-1. Its total energy is -0.061 hartree per atom.


No. 2
Density functional theory data (PBE) for crystalline Be2FePt at its relaxed geometry.

Lattice parameters (Å, degrees): 2.733 2.733 5.722 90.00 90.00 90.00
Fractional coordinates of all 4 atoms:
Be 0.000 0.000 0.000
Be 0.500 0.500 0.199
Fe 0.000 0.000 0.425
Pt 0.500 0.500 0.758

Its space group is P4mm. Its total energy is -0.213 hartree per atom.


No. 3
Density functional theory data (PBE) for crystalline K2SrLa at its relaxed geometry.

Lattice parameters (Å, degrees): 3.991 3.991 14.436 90.00 90.00 111.36
Fractional coordinates of all 4 atoms:
K 0.000 0.000 0.000
K 0.500 0.500 0.279
Sr 0.000 0.000 0.541
La 0.500 0.500 0.754

Its space group is Cmm2. Its total energy is -0.074 hartree per atom. For the excess energy over the best structure of this formula in the dataset, the calculation gives 0.0000 eV/atom.


The records above give, respectively, total moment values of 0.000; 0.546; 0.000 μB/atom.
The records above give, respectively, energy relative to the elements values of -5; -294; 193 meV per atom.